Entry 1:
# CeHo5Ag4

Crystalline CeHo5Ag4 at its relaxed geometry (PBE-GGA, the Alexandria database).

Output
* volume: 250.0 Å³/cell
* calculated total energy: -4.261 eV per atom
* ΔE_f: -230 kJ/mol of formula units
* space-group type: P4/mmm, No. 123
* M_tot: 0.764 μB/f.u.

Geometry as CIF:
```
data_CeHo5Ag4
_cell_length_a 3.589
_cell_length_b 3.589
_cell_length_c 19.406
_cell_angle_alpha 90.00
_cell_angle_beta 90.00
_cell_angle_gamma 90.00
_space_group_name_H-M_alt 'P 1'
_space_group_IT_number 1
loop_
_space_group_symop_operation_xyz
'x,y,z'
loop_
_atom_site_label
_atom_site_type_symbol
_atom_site_fract_x
_atom_site_fract_y
_atom_site_fract_z
Ho1 Ho 0.500 0.500 0.690
Ho2 Ho 0.500 0.500 0.877
Ho3 Ho 0.500 0.500 0.123
Ho4 Ho 0.500 0.500 0.500
Ho5 Ho 0.500 0.500 0.310
Ag1 Ag 0.000 0.000 0.406
Ag2 Ag 0.000 0.000 0.216
Ag3 Ag 0.000 0.000 0.784
Ag4 Ag 0.000 0.000 0.594
Ce1 Ce 0.000 0.000 0.000
```


Entry 2:
# CeHoAg4

Crystalline CeHoAg4 at its relaxed geometry (PBE-GGA, the Alexandria database).

Output
* volume: 132.6 Å³/cell
* calculated total energy: -3.756 eV per atom
* energy relative to the lowest polymorph listed for this composition: 0.087 eV/atom
* ΔE_f: -60 kJ/mol of formula units
* space-group type: F-43m, No. 216
* M_tot: 1.124 μB/f.u.

Geometry as CIF:
```
data_CeHoAg4
_cell_length_a 5.724
_cell_length_b 5.724
_cell_length_c 5.724
_cell_angle_alpha 60.00
_cell_angle_beta 60.00
_cell_angle_gamma 60.00
_space_group_name_H-M_alt 'P 1'
_space_group_IT_number 1
loop_
_space_group_symop_operation_xyz
'x,y,z'
loop_
_atom_site_label
_atom_site_type_symbol
_atom_site_fract_x
_atom_site_fract_y
_atom_site_fract_z
Ce1 Ce 0.000 0.000 0.000
Ag1 Ag 0.625 0.625 0.625
Ag2 Ag 0.625 0.625 0.126
Ag3 Ag 0.126 0.625 0.625
Ag4 Ag 0.625 0.126 0.625
Ho1 Ho 0.250 0.250 0.250
```